Record 1
A plane-wave DFT calculation with GGA-PBEsol was carried out for a relaxed Tb7RhI12 crystal.

Cell lengths 9.516, 9.516, 9.516 Å; angles 107.37, 107.37, 107.37 degrees
Fractional coordinates of all 20 atoms:
Tb 0.500 0.500 0.500
Tb 0.969 0.694 0.898
Tb 0.694 0.898 0.969
Tb 0.898 0.969 0.694
Tb 0.031 0.306 0.102
Tb 0.306 0.102 0.031
Tb 0.102 0.031 0.306
Rh 0.000 0.000 0.000
I 0.844 0.607 0.525
I 0.607 0.525 0.844
I 0.525 0.844 0.607
I 0.156 0.393 0.475
I 0.393 0.475 0.156
I 0.475 0.156 0.393
I 0.231 0.074 0.678
I 0.074 0.678 0.231
I 0.678 0.231 0.074
I 0.769 0.926 0.322
I 0.926 0.322 0.769
I 0.322 0.769 0.926

- energy relative to the elements, uncorrected (eV/atom) = -1.2424
- E_tot (eV/atom) = -4.463

***

Record 2
A plane-wave DFT calculation with GGA-PBEsol was carried out for a relaxed Tl3GeF7 crystal.

Cell lengths 5.879, 7.948, 7.948 Å; angles 90.00, 90.00, 90.00 degrees
Fractional coordinates of all 22 atoms:
Tl 0.500 0.696 0.196
Tl 0.500 0.304 0.804
Tl 0.500 0.196 0.304
Tl 0.500 0.804 0.696
Tl 0.000 0.000 0.000
Tl 0.000 0.500 0.500
Ge 0.000 0.500 0.000
Ge 0.000 0.000 0.500
F 0.221 0.113 0.613
F 0.779 0.887 0.387
F 0.221 0.887 0.387
F 0.221 0.613 0.887
F 0.779 0.613 0.887
F 0.779 0.113 0.613
F 0.779 0.387 0.113
F 0.221 0.387 0.113
F 0.000 0.662 0.162
F 0.000 0.338 0.838
F 0.000 0.162 0.338
F 0.000 0.838 0.662
F 0.500 0.000 0.000
F 0.500 0.500 0.500

- energy relative to the elements, uncorrected (eV/atom) = -2.1275
- E_tot (eV/atom) = -4.520

***

Record 3
A plane-wave DFT calculation with GGA-PBEsol was carried out for a relaxed LaGd3 crystal.

Cell lengths 5.738, 7.171, 7.171 Å; angles 120.00, 90.00, 90.00 degrees
Last column: magnetic moment on the atom in μB.
Fractional coordinates of all 8 atoms:
La 0.250 0.667 0.333  0.08
La 0.750 0.333 0.667  0.08
Gd 0.750 0.835 0.165  7.18
Gd 0.750 0.835 0.669  7.18
Gd 0.750 0.331 0.165  7.18
Gd 0.250 0.165 0.835  7.18
Gd 0.250 0.165 0.331  7.18
Gd 0.250 0.669 0.835  7.18

- E_tot (eV/atom) = -12.146
- energy of formation (eV per formula unit) = 0.11

***

Which of these has the highest E_tot? Tb7RhI12

***

What is the E_tot in the third record? -12.146 eV/atom